Density functional theory data (PBE+U) for BiMoO5 after structural relaxation.

a = 6.0853 Å, b = 6.0853 Å, c = 8.3473 Å
α = 112.97°, β = 109.43°, γ = 90.48°
Last column: nearest neighbours and their distance in Å.
Element x y z (fractional)
O1 0.6973 0.1488 0.8396  1 Mo 1.79
O2 0.7254 0.8163 0.0643  1 Mo 1.80
O3 0.6908 0.6424 0.3396  1 Mo 1.79
O4 0.9414 0.6914 0.7500  2 Bi 2.11
O5 0.3092 0.3576 0.6604  1 Mo 1.79
O6 0.2746 0.1837 0.9357  1 Mo 1.80
O7 0.3027 0.8512 0.1604  1 Mo 1.79
O8 0.7521 0.1611 0.4357  1 Mo 1.80
O9 0.0586 0.3086 0.2500  2 Bi 2.11
O10 0.2479 0.8389 0.5643  1 Mo 1.80
Bi1 0.0000 0.5000 0.5000  6 O 2.11-2.32
Bi2 0.0000 0.0000 0.0000  6 O 2.11-2.32
Mo1 0.3826 0.1326 0.7500  4 O 1.79-1.80
Mo2 0.6174 0.8674 0.2500  4 O 1.79-1.80

Summary:
Space-group type: No. 15
Magnetization: 0.0 Bohr magnetons per cell
Density of states at the Fermi level: 0.82 states/eV per cell
Energy above the lowest structure with this stoichiometry: 0 meV per atom